VASP calculation (PBE-GGA) on SmEuC after structural relaxation.

The structure in CIF format:
```
data_SmEuC
_cell_length_a 3.294
_cell_length_b 3.294
_cell_length_c 12.953
_cell_angle_alpha 90.00
_cell_angle_beta 90.00
_cell_angle_gamma 90.00
_symmetry_space_group_name_H-M 'I 4 m m'
_symmetry_Int_Tables_number 107
_symmetry_space_group_name_Hall 'I 4 -2'
loop_
_atom_site_label
_atom_site_fract_x
_atom_site_fract_y
_atom_site_fract_z
Sm1 0.000 0.000 0.000
Eu1 0.000 0.000 0.217
C1 0.000 0.000 0.591
```

Output
Energy relative to the lowest polymorph listed for this composition = 0.3515 eV per atom
Crystal system = tetragonal
Electronic total energy = -46.271 eV per cell
Energy of formation from the pure elements = 0.36 eV per atom

VASP calculation (PBE-GGA) on ZrIn2Tc after structural relaxation.

The structure in CIF format:
```
data_ZrIn2Tc
_cell_length_a 4.310
_cell_length_b 4.310
_cell_length_c 8.499
_cell_angle_alpha 90.00
_cell_angle_beta 90.00
_cell_angle_gamma 90.00
_symmetry_space_group_name_H-M 'I -4 m 2'
_symmetry_Int_Tables_number 119
_symmetry_space_group_name_Hall 'I -4 -2'
loop_
_atom_site_label
_atom_site_fract_x
_atom_site_fract_y
_atom_site_fract_z
Zr1 0.000 0.000 0.000
In1 0.000 0.000 0.500
In2 0.000 0.500 0.750
Tc1 0.000 0.500 0.250
```

Output
Energy relative to the lowest polymorph listed for this composition = 0.0996 eV per atom
Crystal system = tetragonal
Electronic total energy = -48.449 eV per cell
Energy of formation from the pure elements = 0.04 eV per atom

VASP calculation (PBE-GGA) on Th4AsCSe2 after structural relaxation.

The structure in CIF format:
```
data_Th4AsCSe2
_cell_length_a 7.173
_cell_length_b 4.038
_cell_length_c 7.279
_cell_angle_alpha 90.00
_cell_angle_beta 108.33
_cell_angle_gamma 90.00
_symmetry_space_group_name_H-M 'P 1 2/m 1'
_symmetry_Int_Tables_number 10
loop_
_symmetry_equiv_pos_as_xyz
'x,y,z'
'-x,-y,-z'
'-x,y,-z'
'x,-y,z'
loop_
_atom_site_label
_atom_site_fract_x
_atom_site_fract_y
_atom_site_fract_z
Th1 0.214 0.000 0.211
Th2 0.230 0.500 0.776
As1 0.500 0.000 0.000
C1 0.000 0.500 0.000
Se1 0.000 0.000 0.500
Se2 0.500 0.500 0.500
```

Output
Crystal system = monoclinic
Electronic total energy = -60.404 eV per cell

Q: Which of these has the lowest electronic total energy?
A: Th4AsCSe2

Q: Which value of electronic total energy does entry 1 give?
A: -46.271 eV per cell